No. 1
Entry from Alexandria: Li8LaAl4 after structural relaxation (GGA-PBE). Values from VASP.

magnetization = 0.0 μB/f.u.
space-group type = I4/mmm, No. 139
ΔH_f (0 K) = -145 meV/atom
crystal system = tetragonal

The structure in Quantum ESPRESSO input format:
```
&SYSTEM
  ibrav = 0, nat = 13, ntyp = 3
/
ATOMIC_SPECIES
Al 26.98 Al.upf
Li 6.94 Li.upf
La 138.91 La.upf
CELL_PARAMETERS angstrom
-3.655 -1.515 -3.839
2.148 -5.816 -3.708
-4.859 -4.712 2.527
ATOMIC_POSITIONS crystal
Al 0.000 0.000 0.500
Li 0.500 0.777 0.223
Li 0.723 0.777 0.777
Li 0.653 0.347 0.347
Li 0.500 0.223 0.777
Li 0.347 0.653 0.653
Al 0.000 0.500 0.000
Li 0.000 0.653 0.347
Al 0.500 0.000 0.500
Al 0.500 0.500 0.000
Li 0.277 0.223 0.223
Li 0.000 0.347 0.653
La 0.000 0.000 0.000
```

***

No. 2
Entry from Alexandria: Li4LaAl after structural relaxation (GGA-PBE). Values from VASP.

magnetization = 0.0 μB/f.u.
space-group type = F-43m, No. 216
ΔH_f (0 K) = -64 meV/atom
crystal system = cubic

The structure in Quantum ESPRESSO input format:
```
&SYSTEM
  ibrav = 0, nat = 6, ntyp = 3
/
ATOMIC_SPECIES
Li 6.94 Li.upf
Al 26.98 Al.upf
La 138.91 La.upf
CELL_PARAMETERS angstrom
5.546 0.000 0.000
2.773 4.803 0.000
2.773 1.601 4.528
ATOMIC_POSITIONS crystal
Li 0.623 0.132 0.623
Li 0.623 0.623 0.623
Al 0.250 0.250 0.250
La 0.000 0.000 0.000
Li 0.132 0.623 0.623
Li 0.623 0.623 0.132
```

***

No. 3
Entry from Alexandria: Li7LaAl5 after structural relaxation (GGA-PBE). Values from VASP.

magnetization = 0.0 μB/f.u.
space-group type = Imm2, No. 44
ΔH_f (0 K) = -193 meV/atom
crystal system = orthorhombic

The structure in Quantum ESPRESSO input format:
```
&SYSTEM
  ibrav = 0, nat = 13, ntyp = 3
/
ATOMIC_SPECIES
Li 6.94 Li.upf
Al 26.98 Al.upf
La 138.91 La.upf
CELL_PARAMETERS angstrom
-5.024 -0.823 1.989
-0.754 -6.522 2.906
-0.555 1.909 6.899
ATOMIC_POSITIONS crystal
Li 0.502 0.785 0.211
Al 0.708 0.792 0.792
La 0.002 0.998 0.998
Li 0.652 0.348 0.348
Al 0.003 0.998 0.500
Al 0.003 0.500 0.998
Li 0.997 0.356 0.651
Al 0.499 0.500 0.998
Li 0.502 0.211 0.785
Li 0.997 0.651 0.356
Li 0.282 0.218 0.218
Al 0.499 0.998 0.500
Li 0.353 0.647 0.647
```

***

No. 4
Entry from Alexandria: LiLa2Al after structural relaxation (GGA-PBE). Values from VASP.

magnetization = 0.0 μB/f.u.
space-group type = I-4m2, No. 119
ΔH_f (0 K) = -91 meV/atom
crystal system = tetragonal

The structure in Quantum ESPRESSO input format:
```
&SYSTEM
  ibrav = 0, nat = 4, ntyp = 3
/
ATOMIC_SPECIES
Li 6.94 Li.upf
Al 26.98 Al.upf
La 138.91 La.upf
CELL_PARAMETERS angstrom
-5.081 2.678 1.959
-4.582 0.053 -3.978
3.782 -4.215 2.181
ATOMIC_POSITIONS crystal
Li 0.500 0.500 0.000
Al 0.750 0.250 0.500
La 0.000 0.000 0.000
La 0.250 0.750 0.500
```

***

No. 5
Entry from Alexandria: Li2LaAl after structural relaxation (GGA-PBE). Values from VASP.

magnetization = 0.0 μB/f.u.
space-group type = Pm, No. 6
ΔH_f (0 K) = -46 meV/atom
crystal system = monoclinic

The structure in Quantum ESPRESSO input format:
```
&SYSTEM
  ibrav = 0, nat = 4, ntyp = 3
/
ATOMIC_SPECIES
Li 6.94 Li.upf
La 138.91 La.upf
Al 26.98 Al.upf
CELL_PARAMETERS angstrom
4.739 0.000 0.000
0.000 3.293 0.026
0.000 1.624 6.204
ATOMIC_POSITIONS crystal
Li 0.000 0.020 0.085
La 0.500 0.708 0.705
Al 0.000 0.326 0.470
Li 0.500 0.446 0.240
```

***

No. 6
Entry from Alexandria: LiLaAl11 after structural relaxation (GGA-PBE). Values from VASP.

magnetization = 0.0 μB/f.u.
space-group type = C2/m, No. 12
ΔH_f (0 K) = -146 meV/atom
crystal system = monoclinic

The structure in Quantum ESPRESSO input format:
```
&SYSTEM
  ibrav = 0, nat = 13, ntyp = 3
/
ATOMIC_SPECIES
Li 6.94 Li.upf
Al 26.98 Al.upf
La 138.91 La.upf
CELL_PARAMETERS angstrom
4.983 -0.060 2.076
2.371 6.638 0.988
-0.013 -0.030 7.049
ATOMIC_POSITIONS crystal
Li 0.500 0.500 0.000
Al 0.281 0.225 0.221
Al 0.000 0.500 0.000
Al 0.004 0.355 0.644
Al 0.719 0.775 0.779
Al 0.996 0.645 0.356
Al 0.648 0.355 0.356
Al 0.502 0.225 0.779
Al 0.500 0.000 0.500
Al 0.000 0.000 0.500
La 0.000 0.000 0.000
Al 0.498 0.775 0.221
Al 0.352 0.645 0.644
```

***

No. 7
Entry from Alexandria: LiLa2Al2 after structural relaxation (GGA-PBE). Values from VASP.

magnetization = 0.0 μB/f.u.
space-group type = P4/mbm, No. 127
ΔH_f (0 K) = -74 meV/atom
crystal system = tetragonal

The structure in Quantum ESPRESSO input format:
```
&SYSTEM
  ibrav = 0, nat = 10, ntyp = 3
/
ATOMIC_SPECIES
Al 26.98 Al.upf
Li 6.94 Li.upf
La 138.91 La.upf
CELL_PARAMETERS angstrom
-3.291 6.122 -5.955
-4.733 -6.620 -4.190
-2.602 0.576 2.030
ATOMIC_POSITIONS crystal
Al 0.893 0.393 0.500
Al 0.107 0.607 0.500
Li 0.000 0.000 0.000
Li 0.500 0.500 0.000
La 0.319 0.819 0.000
La 0.181 0.319 0.000
La 0.819 0.681 0.000
Al 0.607 0.893 0.500
Al 0.393 0.107 0.500
La 0.681 0.181 0.000
```

***

No. 8
Entry from Alexandria: Li2LaAl after structural relaxation (GGA-PBE). Values from VASP.

magnetization = 0.5 μB/f.u.
space-group type = I-42d, No. 122
ΔH_f (0 K) = 117 meV/atom
crystal system = tetragonal

The structure in Quantum ESPRESSO input format:
```
&SYSTEM
  ibrav = 0, nat = 8, ntyp = 3
/
ATOMIC_SPECIES
Al 26.98 Al.upf
La 138.91 La.upf
Li 6.94 Li.upf
CELL_PARAMETERS angstrom
-3.569 0.282 2.797
-2.115 -3.247 -2.372
1.242 -8.463 6.127
ATOMIC_POSITIONS crystal
Al 0.500 0.500 0.000
La 0.750 0.250 0.500
Li 0.244 0.125 0.250
Li 0.506 0.625 0.250
Al 0.250 0.750 0.500
Li 0.375 0.756 0.750
La 0.000 0.000 0.000
Li 0.875 0.494 0.750
```

***

No. 9
Entry from Alexandria: Li2La3Al after structural relaxation (GGA-PBE). Values from VASP.

magnetization = 0.0 μB/f.u.
space-group type = P-3m1, No. 164
ΔH_f (0 K) = -80 meV/atom
crystal system = trigonal

The structure in Quantum ESPRESSO input format:
```
&SYSTEM
  ibrav = 0, nat = 12, ntyp = 3
/
ATOMIC_SPECIES
Li 6.94 Li.upf
La 138.91 La.upf
Al 26.98 Al.upf
CELL_PARAMETERS angstrom
-0.197 -3.057 -4.494
-2.473 -1.681 4.543
-11.155 6.246 -3.760
ATOMIC_POSITIONS crystal
Li 0.333 0.667 0.170
La 0.667 0.333 0.582
Li 0.000 0.000 0.500
La 0.000 0.000 0.254
La 0.000 0.000 0.746
La 0.333 0.667 0.418
La 0.333 0.667 0.913
La 0.667 0.333 0.087
Al 0.333 0.667 0.666
Al 0.667 0.333 0.334
Li 0.000 0.000 0.000
Li 0.667 0.333 0.830
```

***

No. 10
Entry from Alexandria: LiLa3Al2 after structural relaxation (GGA-PBE). Values from VASP.

magnetization = 0.0 μB/f.u.
space-group type = P4/mmm, No. 123
ΔH_f (0 K) = -231 meV/atom
crystal system = tetragonal

The structure in Quantum ESPRESSO input format:
```
&SYSTEM
  ibrav = 0, nat = 6, ntyp = 3
/
ATOMIC_SPECIES
Li 6.94 Li.upf
La 138.91 La.upf
Al 26.98 Al.upf
CELL_PARAMETERS angstrom
-0.102 -1.308 3.550
-0.957 -3.427 -1.290
11.471 -2.922 -0.748
ATOMIC_POSITIONS crystal
Li 0.500 0.500 0.500
La 0.000 0.000 0.000
La 0.000 0.000 0.684
Al 0.500 0.500 0.165
Al 0.500 0.500 0.835
La 0.000 0.000 0.316
```

***

No. 11
Entry from Alexandria: Li2LaAl after structural relaxation (GGA-PBE). Values from VASP.

magnetization = 0.0 μB/f.u.
space-group type = C2/m, No. 12
ΔH_f (0 K) = -54 meV/atom
crystal system = monoclinic

The structure in Quantum ESPRESSO input format:
```
&SYSTEM
  ibrav = 0, nat = 4, ntyp = 3
/
ATOMIC_SPECIES
La 138.91 La.upf
Li 6.94 Li.upf
Al 26.98 Al.upf
CELL_PARAMETERS angstrom
11.584 3.372 2.393
6.625 4.901 1.575
6.625 3.105 4.106
ATOMIC_POSITIONS crystal
La 0.500 0.000 0.000
Li 0.657 0.075 0.075
Al 0.000 0.000 0.000
Li 0.343 0.925 0.925
```

***

No. 12
Entry from Alexandria: Li2LaAl after structural relaxation (GGA-PBE). Values from VASP.

magnetization = 0.0 μB/f.u.
space-group type = Pmmm, No. 47
ΔH_f (0 K) = 30 meV/atom
crystal system = orthorhombic

The structure in Quantum ESPRESSO input format:
```
&SYSTEM
  ibrav = 0, nat = 4, ntyp = 3
/
ATOMIC_SPECIES
Li 6.94 Li.upf
Al 26.98 Al.upf
La 138.91 La.upf
CELL_PARAMETERS angstrom
-1.574 0.263 2.880
0.006 -3.622 0.334
6.434 0.333 3.485
ATOMIC_POSITIONS crystal
Li 0.000 0.000 0.437
Al 0.500 0.500 0.250
La 0.500 0.500 0.750
Li 0.000 0.000 0.063
```

***

No. 13
Entry from Alexandria: LiLa4Al after structural relaxation (GGA-PBE). Values from VASP.

magnetization = 0.0 μB/f.u.
space-group type = C2/m, No. 12
ΔH_f (0 K) = -87 meV/atom
crystal system = monoclinic

The structure in Quantum ESPRESSO input format:
```
&SYSTEM
  ibrav = 0, nat = 6, ntyp = 3
/
ATOMIC_SPECIES
La 138.91 La.upf
Li 6.94 Li.upf
Al 26.98 Al.upf
CELL_PARAMETERS angstrom
-1.888 3.162 -1.407
0.078 -0.455 -6.654
-7.965 -0.856 3.243
ATOMIC_POSITIONS crystal
La 0.173 0.471 0.182
Li 0.000 0.000 0.000
La 0.320 0.030 0.330
La 0.680 0.970 0.670
Al 0.500 0.500 0.500
La 0.827 0.529 0.818
```

***

No. 14
Entry from Alexandria: Li2La2Al15 after structural relaxation (GGA-PBE). Values from VASP.

magnetization = 0.0 μB/f.u.
space-group type = R-3m, No. 166
ΔH_f (0 K) = -223 meV/atom
crystal system = trigonal

The structure in Quantum ESPRESSO input format:
```
&SYSTEM
  ibrav = 0, nat = 19, ntyp = 3
/
ATOMIC_SPECIES
Al 26.98 Al.upf
Li 6.94 Li.upf
La 138.91 La.upf
CELL_PARAMETERS angstrom
7.083 -0.033 0.890
0.781 7.040 0.890
-0.037 -0.033 7.139
ATOMIC_POSITIONS crystal
Al 0.155 0.650 0.650
Li 0.099 0.099 0.099
Al 0.350 0.350 0.845
Li 0.901 0.901 0.901
Al 0.707 0.000 0.293
Al 0.293 0.707 0.000
Al 0.000 0.707 0.293
Al 0.500 0.000 0.000
Al 0.000 0.500 0.000
La 0.653 0.653 0.653
Al 0.293 0.000 0.707
Al 0.650 0.155 0.650
Al 0.350 0.845 0.350
La 0.347 0.347 0.347
Al 0.000 0.000 0.500
Al 0.707 0.293 0.000
Al 0.650 0.650 0.155
Al 0.000 0.293 0.707
Al 0.845 0.350 0.350
```

***

No. 15
Entry from Alexandria: Li3LaAl after structural relaxation (GGA-PBE). Values from VASP.

magnetization = 2.7 μB/f.u.
space-group type = Pm-3m, No. 221
ΔH_f (0 K) = 1227 meV/atom
crystal system = cubic

The structure in Quantum ESPRESSO input format:
```
&SYSTEM
  ibrav = 0, nat = 5, ntyp = 3
/
ATOMIC_SPECIES
La 138.91 La.upf
Li 6.94 Li.upf
Al 26.98 Al.upf
CELL_PARAMETERS angstrom
5.503 0.000 0.000
0.000 5.503 0.000
0.000 0.000 5.503
ATOMIC_POSITIONS crystal
La 0.000 0.000 0.000
Li 0.000 0.000 0.500
Li 0.000 0.500 0.000
Al 0.500 0.500 0.500
Li 0.500 0.000 0.000
```

***

No. 16
Entry from Alexandria: LiLa3Al8 after structural relaxation (GGA-PBE). Values from VASP.

magnetization = 0.0 μB/f.u.
space-group type = R3m, No. 160
ΔH_f (0 K) = -388 meV/atom
crystal system = trigonal

The structure in Quantum ESPRESSO input format:
```
&SYSTEM
  ibrav = 0, nat = 12, ntyp = 3
/
ATOMIC_SPECIES
La 138.91 La.upf
Al 26.98 Al.upf
Li 6.94 Li.upf
CELL_PARAMETERS angstrom
-3.163 -2.997 3.646
1.653 -0.553 5.408
-5.231 6.522 5.251
ATOMIC_POSITIONS crystal
La 0.996 0.996 0.013
La 0.375 0.375 0.876
Al 0.437 0.938 0.187
Li 0.874 0.874 0.378
Al 0.188 0.188 0.437
La 0.503 0.503 0.491
Al 0.438 0.939 0.685
Al 0.938 0.437 0.187
Al 0.437 0.437 0.187
Al 0.939 0.438 0.685
Al 0.939 0.939 0.685
Al 0.687 0.687 0.938
```

***

No. 17
Entry from Alexandria: LiLa3Al2 after structural relaxation (GGA-PBE). Values from VASP.

magnetization = 0.0 μB/f.u.
space-group type = P-3m1, No. 164
ΔH_f (0 K) = -246 meV/atom
crystal system = trigonal

The structure in Quantum ESPRESSO input format:
```
&SYSTEM
  ibrav = 0, nat = 12, ntyp = 3
/
ATOMIC_SPECIES
La 138.91 La.upf
Al 26.98 Al.upf
Li 6.94 Li.upf
CELL_PARAMETERS angstrom
-3.358 0.433 4.206
1.405 -4.877 -1.841
10.324 -0.142 8.258
ATOMIC_POSITIONS crystal
La 0.333 0.667 0.417
La 0.333 0.667 0.920
Al 0.667 0.333 0.827
Al 0.000 0.000 0.000
Al 0.333 0.667 0.173
La 0.667 0.333 0.080
Li 0.333 0.667 0.671
La 0.667 0.333 0.583
Li 0.667 0.333 0.329
Al 0.000 0.000 0.500
La 0.000 0.000 0.755
La 0.000 0.000 0.245
```

***

No. 18
Entry from Alexandria: Li2LaAl after structural relaxation (GGA-PBE). Values from VASP.

magnetization = 0.0 μB/f.u.
space-group type = C2/m, No. 12
ΔH_f (0 K) = 97 meV/atom
crystal system = monoclinic

The structure in Quantum ESPRESSO input format:
```
&SYSTEM
  ibrav = 0, nat = 4, ntyp = 3
/
ATOMIC_SPECIES
Li 6.94 Li.upf
La 138.91 La.upf
Al 26.98 Al.upf
CELL_PARAMETERS angstrom
-0.885 -3.433 -4.529
1.887 -2.869 5.388
-2.621 -1.049 1.166
ATOMIC_POSITIONS crystal
Li 0.500 0.000 0.500
Li 0.000 0.000 0.000
La 0.500 0.500 0.000
Al 0.000 0.500 0.500
```

***

No. 19
Entry from Alexandria: LiLa2Al after structural relaxation (GGA-PBE). Values from VASP.

magnetization = 0.0 μB/f.u.
space-group type = C2/m, No. 12
ΔH_f (0 K) = 26 meV/atom
crystal system = monoclinic

The structure in Quantum ESPRESSO input format:
```
&SYSTEM
  ibrav = 0, nat = 4, ntyp = 3
/
ATOMIC_SPECIES
La 138.91 La.upf
Li 6.94 Li.upf
Al 26.98 Al.upf
CELL_PARAMETERS angstrom
-1.016 0.782 -5.450
1.776 -1.301 -5.147
-3.677 -5.070 -0.971
ATOMIC_POSITIONS crystal
La 0.989 0.989 0.029
Li 0.750 0.750 0.750
La 0.511 0.511 0.471
Al 0.250 0.250 0.250
```

***

No. 20
Entry from Alexandria: LiLa2Al2 after structural relaxation (GGA-PBE). Values from VASP.

magnetization = 0.0 μB/f.u.
space-group type = P4/mbm, No. 127
ΔH_f (0 K) = -184 meV/atom
crystal system = tetragonal

The structure in Quantum ESPRESSO input format:
```
&SYSTEM
  ibrav = 0, nat = 10, ntyp = 3
/
ATOMIC_SPECIES
La 138.91 La.upf
Li 6.94 Li.upf
Al 26.98 Al.upf
CELL_PARAMETERS angstrom
-6.448 5.962 0.640
-2.436 -1.746 -8.279
-2.268 -2.583 1.212
ATOMIC_POSITIONS crystal
La 0.682 0.818 0.500
Li 0.500 0.500 0.000
La 0.818 0.318 0.500
La 0.318 0.182 0.500
Li 0.000 0.000 0.000
Al 0.891 0.609 0.000
Al 0.391 0.891 0.000
Al 0.109 0.391 0.000
La 0.182 0.682 0.500
Al 0.609 0.109 0.000
```